## Ho4TlCd2Ag (PBE)

Data for a relaxed structure of Ho4TlCd2Ag.

Its formation enthalpy at 0 K is -314.5 meV per atom. The magnetization comes out at 0.00 μB/f.u. As for the total energy: -3.4844 eV per atom.

The space group is R-3m (No. 166, hexagonal axes) and the conventional cell measures 5.2488, 5.2488 and 25.7835 Å, with angles of 90.00, 90.00 and 120.00 degrees. The distinct sites, in fractional coordinates, are Ho at (0.0000, 0.0000, 0.1221), Ho at (0.0000, 0.0000, 0.3725), Tl at (0.0000, 0.0000, 0.5000), Cd at (0.0000, 0.0000, 0.2500) and Ag at (0.0000, 0.0000, 0.0000).